YIn2Ru: optimized geometry, PBE.

Results
ΔE_f = -0.185 eV per atom
Electronic total energy = -21.957 eV/f.u.

Cell: 3.410 3.410 7.644 Å, 90.00 90.00 90.00°
Sites, in units of the cell vectors:
Y  0.000  0.000  0.000
In  0.000  0.000  0.588
In  0.500  0.500  0.312
Ru  0.500  0.500  0.773


MnAs2SeS: optimized geometry, PBE.

Results
Electronic total energy = -19.908 eV/f.u.
E_form (uncorrected) = 1235 meV per atom
Energy above the lowest structure with this stoichiometry = 0.764 eV per atom

Cell: 4.749 4.749 4.696 Å, 90.00 90.00 90.00°
Sites, in units of the cell vectors:
Mn  0.000  0.000  0.000
As  0.000  0.500  0.500
As  0.500  0.000  0.500
Se  0.500  0.500  0.000
S  0.500  0.500  0.500


PaBeB: optimized geometry, PBE.

Results
ΔE_f = -0.001 eV per atom
Electronic total energy = -19.902 eV/f.u.
Energy above the lowest structure with this stoichiometry = 0.282 eV per atom

Cell: 5.024 5.024 4.922 Å, 90.00 90.00 140.91°
Sites, in units of the cell vectors:
Pa  0.211  0.789  0.750
Pa  0.789  0.211  0.250
Be  0.500  0.500  0.000
Be  0.500  0.500  0.500
B  0.072  0.928  0.250
B  0.928  0.072  0.750


SrNd2Ag2Pb2: optimized geometry, PBE.

Results
ΔE_f = -0.345 eV per atom
Electronic total energy = -26.750 eV/f.u.

Cell: 9.891 9.891 9.891 Å, 29.54 29.54 29.54°
Sites, in units of the cell vectors:
Sr  0.000  0.000  0.000
Nd  0.138  0.138  0.138
Nd  0.862  0.862  0.862
Ag  0.443  0.443  0.443
Ag  0.557  0.557  0.557
Pb  0.260  0.260  0.260
Pb  0.740  0.740  0.740


Pm2NdDy3Ho6: optimized geometry, PBE.

Results
ΔE_f = 0.017 eV per atom
Electronic total energy = -55.333 eV/f.u.

Cell: 6.173 6.173 11.772 Å, 95.00 95.00 119.96°
Sites, in units of the cell vectors:
Pm  0.167  0.833  0.000
Pm  0.833  0.167  0.000
Nd  0.500  0.500  0.000
Dy  0.000  0.000  0.500
Dy  0.333  0.667  0.500
Dy  0.667  0.333  0.500
Ho  0.082  0.415  0.747
Ho  0.251  0.251  0.253
Ho  0.415  0.082  0.747
Ho  0.585  0.918  0.253
Ho  0.749  0.749  0.747
Ho  0.918  0.585  0.253


YAs2Ir: optimized geometry, PBE.

Results
ΔE_f = -0.794 eV per atom
Electronic total energy = -27.800 eV/f.u.
Energy above the lowest structure with this stoichiometry = 0.000 eV per atom

Cell: 6.028 6.028 6.028 Å, 39.00 39.00 39.00°
Sites, in units of the cell vectors:
Y  0.000  0.000  0.000
As  0.232  0.232  0.232
As  0.768  0.768  0.768
Ir  0.500  0.500  0.500


> Which formula does entry 3 have?

PaBeB


> electronic total energy of number 2 (MnAs2SeS)?

-19.908 eV/f.u.